No. 1
# MgSbPbO6, relaxed, DFT GGA-PBE
# Magnetic moment   1.0 μB per formula unit
# Final energy   -101.58 eV per cell
data_MgSbPbO6
_chemical_formula_sum 'Mg2 Sb2 Pb2 O12'
_cell_length_a 5.4767
_cell_length_b 5.4767
_cell_length_c 8.8289
_cell_angle_alpha 90.00
_cell_angle_beta 90.00
_cell_angle_gamma 120.00
_symmetry_space_group_name_H-M 'P -3 1 c'
_symmetry_Int_Tables_number 163
_symmetry_space_group_name_Hall '-P 3 2c'
loop_
_atom_site_label
_atom_site_type_symbol
_atom_site_fract_x
_atom_site_fract_y
_atom_site_fract_z
Mg1 Mg 0.0000 0.0000 0.0000
Sb1 Sb 0.3333 0.6667 0.2500
Pb1 Pb 0.3333 0.6667 0.7500
O1 O 0.0270 0.3535 0.1262



No. 2
# MgSc2PbO, relaxed, DFT GGA-PBE
# Magnetic moment   0.0 μB per formula unit
# Final energy   -29.05 eV per cell
data_MgSc2PbO
_chemical_formula_sum 'Mg1 Sc2 Pb1 O1'
_cell_length_a 4.529
_cell_length_b 4.529
_cell_length_c 4.412
_cell_angle_alpha 90.00
_cell_angle_beta 90.00
_cell_angle_gamma 90.00
_symmetry_space_group_name_H-M 'P 4/m m m'
_symmetry_Int_Tables_number 123
_symmetry_space_group_name_Hall '-P 4 2'
loop_
_atom_site_label
_atom_site_type_symbol
_atom_site_fract_x
_atom_site_fract_y
_atom_site_fract_z
Mg1 Mg 0.000 0.000 0.000
Sc1 Sc 0.000 0.500 0.500
Pb1 Pb 0.500 0.500 0.000
O1 O 0.000 0.000 0.500



One value per record, in order, for uncorrected formation energy: -1.290; -1.225 eV/atom.